Entry from the Alexandria database: a relaxed TlSi2Ru crystal (GGA-PBE).

ΔE_f (raw)	0.44	eV/atom
energy	-5.182	eV per atom
SG	Imm2
energy relative to the lowest polymorph listed for this composition	456	meV/atom

POSCAR file:
```
TlSi2Ru
1.0
-1.589 2.533 4.303
1.589 -2.533 4.303
1.589 2.533 -4.303
Tl Si Ru
1 2 1
Direct
0.000 0.000 0.000 Tl
0.280 0.780 0.500 Si
0.509 0.509 0.000 Si
0.713 0.213 0.500 Ru
```